No. 1
# CsRbSb2 | Alexandria | PBE | optimized geometry
data_CsRbSb2
_symmetry_space_group_name_H-M 'P 1'
_symmetry_Int_Tables_number 1
_cell_length_a 7.5030
_cell_length_b 8.0700
_cell_length_c 11.1375
_cell_angle_alpha 90.00
_cell_angle_beta 90.00
_cell_angle_gamma 90.00
loop_
_symmetry_equiv_pos_as_xyz
'x,y,z'
loop_
_atom_site_label
_atom_site_type_symbol
_atom_site_fract_x
_atom_site_fract_y
_atom_site_fract_z
_atom_site_occupancy
Sb1 Sb 0.9507 0.6740 0.5025 1
Sb2 Sb 0.5493 0.6740 0.5025 1
Sb3 Sb 0.5493 0.1740 0.9975 1
Sb4 Sb 0.4507 0.8260 0.0025 1
Sb5 Sb 0.0493 0.3260 0.4975 1
Sb6 Sb 0.0493 0.8260 0.0025 1
Sb7 Sb 0.4507 0.3260 0.4975 1
Sb8 Sb 0.9507 0.1740 0.9975 1
Cs1 Cs 0.2500 0.9844 0.7072 1
Cs2 Cs 0.7500 0.5156 0.2072 1
Cs3 Cs 0.7500 0.0156 0.2928 1
Cs4 Cs 0.2500 0.4844 0.7928 1
Rb1 Rb 0.2500 0.4945 0.2165 1
Rb2 Rb 0.7500 0.5055 0.7835 1
Rb3 Rb 0.2500 0.9945 0.2835 1
Rb4 Rb 0.7500 0.0055 0.7165 1
# **ΔE_f (raw)**: -35.28 kJ per mole of atoms
# **Crystal system**: orthorhombic
# **Relative energy among the computed polymorphs**: 41 meV per atom

***

No. 2
# In2FeP | Alexandria | PBE | optimized geometry
data_In2FeP
_symmetry_space_group_name_H-M 'P 1'
_symmetry_Int_Tables_number 1
_cell_length_a 5.2005
_cell_length_b 5.2005
_cell_length_c 5.2005
_cell_angle_alpha 138.13
_cell_angle_beta 124.27
_cell_angle_gamma 72.08
loop_
_symmetry_equiv_pos_as_xyz
'x,y,z'
loop_
_atom_site_label
_atom_site_type_symbol
_atom_site_fract_x
_atom_site_fract_y
_atom_site_fract_z
_atom_site_occupancy
Fe1 Fe 0.7500 0.2500 0.5000 1
In1 In 0.0018 0.0018 0.0000 1
In2 In 0.4982 0.4982 0.0000 1
P1 P 0.2500 0.7500 0.5000 1
# **Crystal system**: orthorhombic
# **ΔH_f (0 K)**: 495 meV/atom

***

No. 3
# YRe4Tc | Alexandria | PBE | optimized geometry
data_YRe4Tc
_symmetry_space_group_name_H-M 'P 1'
_symmetry_Int_Tables_number 1
_cell_length_a 5.2678
_cell_length_b 5.2678
_cell_length_c 5.2678
_cell_angle_alpha 60.00
_cell_angle_beta 60.00
_cell_angle_gamma 60.00
loop_
_symmetry_equiv_pos_as_xyz
'x,y,z'
loop_
_atom_site_label
_atom_site_type_symbol
_atom_site_fract_x
_atom_site_fract_y
_atom_site_fract_z
_atom_site_occupancy
Re1 Re 0.6257 0.1228 0.6257 1
Re2 Re 0.1228 0.6257 0.6257 1
Re3 Re 0.6257 0.6257 0.6257 1
Re4 Re 0.6257 0.6257 0.1228 1
Y1 Y 0.0000 0.0000 0.0000 1
Tc1 Tc 0.2500 0.2500 0.2500 1
# **Crystal system**: cubic
# **ΔH_f (0 K)**: 174 meV/atom

***

No. 4
# Ca2Ga9Rh3 | Alexandria | PBE | optimized geometry
data_Ca2Ga9Rh3
_symmetry_space_group_name_H-M 'P 1'
_symmetry_Int_Tables_number 1
_cell_length_a 7.5731
_cell_length_b 7.5731
_cell_length_c 10.6780
_cell_angle_alpha 89.79
_cell_angle_beta 110.75
_cell_angle_gamma 120.37
loop_
_symmetry_equiv_pos_as_xyz
'x,y,z'
loop_
_atom_site_label
_atom_site_type_symbol
_atom_site_fract_x
_atom_site_fract_y
_atom_site_fract_z
_atom_site_occupancy
Ga1 Ga 0.1207 0.1408 0.4261 1
Ga2 Ga 0.2147 0.6946 0.0739 1
Ga3 Ga 0.5475 0.3547 0.0761 1
Ga4 Ga 0.2214 0.5286 0.5761 1
Ga5 Ga 0.4566 0.8142 0.4374 1
Ga6 Ga 0.3298 0.2897 0.2486 1
Ga7 Ga 0.8811 0.1311 0.7500 1
Ga8 Ga 0.6702 0.7103 0.7514 1
Ga9 Ga 0.7786 0.4714 0.4239 1
Ga10 Ga 0.1189 0.8689 0.2500 1
Ga11 Ga 0.5412 0.0812 0.2514 1
Ga12 Ga 0.4525 0.6453 0.9239 1
Ga13 Ga 0.1231 0.9808 0.9374 1
Ga14 Ga 0.8769 0.0192 0.0626 1
Ga15 Ga 0.7853 0.3054 0.9261 1
Ga16 Ga 0.5434 0.1858 0.5626 1
Ga17 Ga 0.8793 0.8592 0.5739 1
Ga18 Ga 0.4588 0.9188 0.7486 1
Ca1 Ca 0.0010 0.4140 0.2504 1
Ca2 Ca 0.6637 0.7506 0.2496 1
Ca3 Ca 0.9990 0.5860 0.7496 1
Ca4 Ca 0.3363 0.2494 0.7504 1
Rh1 Rh 0.5000 0.5000 0.5000 1
Rh2 Rh 0.8444 0.1724 0.4991 1
Rh3 Rh 0.8267 0.6547 0.9991 1
Rh4 Rh 0.1556 0.8276 0.5009 1
Rh5 Rh 0.5000 0.0000 0.0000 1
Rh6 Rh 0.1733 0.3453 0.0009 1
# **Crystal system**: monoclinic
# **ΔH_f (0 K)**: -610 meV/atom

***

no.,M_tot (Bohr magnetons per cell)
1,0.0
2,2.4
3,0.0
4,0.0